First-principles (PBE+U) data for a relaxed Sm2BeCoO6 crystal, as listed in Alexandria via LeMat-Bulk.

Properties
Its density is 7.5 g cm⁻³. As for the total DFT energy (no corrections): -0.5293 Ry per atom.

Cell lengths 5.2894, 5.2528, 9.0693 Å; angles 90.00, 125.57, 90.00 degrees
Space group P2_1/c (No. 14)
One atom of each set of equivalent atoms:
Sm (0.2429, 0.0307, 0.2494)
Be (0.0000, 0.0000, 0.5000)
Co (0.5000, 0.0000, 0.0000)
O (0.1882, 0.2272, 0.9644)
O (0.2407, 0.7243, 0.9661)
O (0.3128, 0.0050, 0.7476)